[1]
## LaSm2ErTm4 (PBE)

Data for an optimized crystal structure of LaSm2ErTm4.

The structure in extended XYZ format:
```
16
Lattice="-3.384 5.876 6.608 3.384 -5.876 6.608 3.384 5.876 -6.608" Properties=species:S:1:pos:R:3 pbc="T T T"
La -1.692 2.938 3.304
La 1.692 2.938 3.304
Sm 0.000 0.000 0.000
Sm 1.692 2.938 -3.304
Sm 1.692 -2.938 3.304
Sm 0.000 5.876 0.000
Er 3.384 0.000 0.000
Er 0.000 0.000 6.608
Tm 3.384 -0.007 3.281
Tm 1.697 2.938 0.010
Tm 3.384 5.870 -3.281
Tm 5.071 2.938 0.010
Tm -1.687 2.938 6.597
Tm 0.000 0.007 9.888
Tm 1.687 2.938 6.597
Tm 0.000 5.883 3.327
```

Values from the calculation:
- ΔH_f (0 K): 0.421 eV per atom
- Size of the total moment: 0.70 μB/f.u.
- Space group: Imma (74)

[2]
## La3SmErTm (PBE)

Data for an optimized crystal structure of La3SmErTm.

The structure in extended XYZ format:
```
12
Lattice="8.067 0.000 0.000 0.000 5.203 0.000 -3.347 0.000 9.808" Properties=species:S:1:pos:R:3 pbc="T T T"
La 1.235 1.301 0.400
La -0.445 1.301 5.333
La 0.418 3.902 2.880
La 4.302 1.301 6.928
La 5.165 3.902 4.475
La 3.485 3.902 9.408
Sm -1.270 3.902 7.775
Sm 5.990 1.301 2.033
Er 1.097 1.301 8.606
Er 3.623 3.902 1.203
Tm 1.915 3.902 6.146
Tm 2.805 1.301 3.663
```

Values from the calculation:
- ΔH_f (0 K): 0.035 eV per atom
- Size of the total moment: 0.00 μB/f.u.
- Space group: P2_1/m (11)

[3]
## LaSmErTm (PBE)

Data for an optimized crystal structure of LaSmErTm.

The structure in extended XYZ format:
```
8
Lattice="12.425 0.000 0.000 0.000 5.848 0.000 -1.169 0.000 3.660" Properties=species:S:1:pos:R:3 pbc="T T T"
La 0.000 0.000 0.000
La 6.212 2.924 0.000
Sm 2.636 2.924 0.724
Sm 8.848 0.000 0.724
Er 2.308 0.000 2.662
Er 8.520 2.924 2.662
Tm 5.516 0.000 1.727
Tm 11.729 2.924 1.727
```

Values from the calculation:
- ΔH_f (0 K): 0.102 eV per atom
- Size of the total moment: 0.00 μB/f.u.
- Space group: Cm (8)

[4]
## La2Sm5ErTm (PBE)

Data for an optimized crystal structure of La2Sm5ErTm.

The structure in extended XYZ format:
```
18
Lattice="2.843 -10.119 0.000 2.843 10.119 0.000 0.000 0.000 10.774" Properties=species:S:1:pos:R:3 pbc="T T T"
La 2.843 7.823 5.387
La 2.843 7.756 0.886
La 2.843 -7.756 6.273
La 2.843 -7.823 0.000
Sm 2.843 9.801 8.462
Sm 2.843 4.480 0.820
Sm 2.843 4.101 5.051
Sm 2.843 2.340 8.473
Sm 2.843 0.362 5.473
Sm 2.843 -0.362 0.086
Sm 2.843 -2.340 3.086
Sm 2.843 -4.101 10.438
Sm 2.843 -4.480 6.207
Sm 2.843 -9.801 3.075
Er 2.843 6.077 8.358
Er 2.843 -6.077 2.971
Tm 2.843 1.862 2.467
Tm 2.843 -1.862 7.854
```

Values from the calculation:
- ΔH_f (0 K): 0.130 eV per atom
- Size of the total moment: 0.00 μB/f.u.
- Space group: Cmc2_1 (36)